(1)
Here is crystalline Ac2PaAgTe5 at its relaxed geometry from the Alexandria database. Energies are from PBE.

Structure (POSCAR):
```
Ac2PaAgTe5
1.0
-4.100 1.679 -0.949
-1.697 -9.831 0.750
-2.488 1.444 13.305
Te Pa Ag Ac
10 2 2 4
direct
0.291 0.582 0.668
0.709 0.418 0.168
0.644 0.288 0.504
0.356 0.712 0.004
0.044 0.088 0.065
0.305 0.609 0.349
0.695 0.391 0.849
0.498 0.996 0.772
0.956 0.912 0.565
0.502 0.004 0.272
0.806 0.613 0.511
0.194 0.387 0.011
0.433 0.867 0.452
0.567 0.133 0.952
0.886 0.772 0.192
0.125 0.250 0.310
0.875 0.750 0.810
0.114 0.228 0.692
```

Calculated values
Calculated volume: 601 Å³ per cell
DOS(E_F): 13.04 states/eV per cell
Magnetic moment: 3.067 μB per cell
Formation energy from raw total energies: -9.911 eV/f.u.

(2)
Here is crystalline Zn2RhW at its relaxed geometry from the Alexandria database. Energies are from PBE.

Structure (POSCAR):
```
Zn2RhW
1.0
-0.215 -0.137 2.804
-4.627 -0.291 -0.369
0.301 -4.527 -0.198
Zn W Rh
2 1 1
direct
0.500 0.500 0.000
0.000 0.000 0.000
0.000 0.500 0.500
0.500 0.000 0.500
```

Calculated values
Energy above the most stable polymorph in this dataset: 200 meV/atom
Formation enthalpy at 0 K: 0.10 eV/atom
Calculated volume: 59 Å³ per cell
DOS(E_F): 2.28 states/eV per cell
Magnetic moment: 0.000 μB per cell

(3)
Here is crystalline ZrBRu3 at its relaxed geometry from the Alexandria database. Energies are from PBE.

Structure (POSCAR):
```
ZrBRu3
1.0
0.000 5.444 5.444
5.444 0.000 5.444
5.444 5.444 0.000
Zr B Ru
4 4 12
direct
0.125 0.625 0.625
0.625 0.625 0.625
0.625 0.625 0.125
0.625 0.125 0.625
0.125 0.125 0.125
0.125 0.125 0.625
0.625 0.125 0.125
0.125 0.625 0.125
0.058 0.442 0.058
0.192 0.808 0.192
0.808 0.808 0.192
0.808 0.192 0.192
0.058 0.058 0.442
0.442 0.058 0.442
0.442 0.442 0.058
0.192 0.192 0.808
0.192 0.808 0.808
0.058 0.442 0.442
0.808 0.192 0.808
0.442 0.058 0.058
```

Calculated values
Formation enthalpy at 0 K: 0.05 eV/atom
Calculated volume: 323 Å³ per cell
DOS(E_F): 18.01 states/eV per cell
Magnetic moment: 0.000 μB per cell

Question: What is the calculated volume in the second record?
Answer: 59 Å³ per cell

Question: The highest calculated volume belongs to which entry?
Answer: Ac2PaAgTe5